(1)
## NaZnCl2F (GGA-PBE)

Data for a relaxed structure of NaZnCl2F.

Unit cell a=4.9802 b=4.9802 c=3.9600 alpha=90.00 beta=90.00 gamma=90.00
Positions (direct):
F (0.0000, 0.0000, 0.5000)
Cl (0.0000, 0.5000, 0.0000)
Cl (0.5000, 0.0000, 0.0000)
Zn (0.0000, 0.0000, 0.0000)
Na (0.5000, 0.5000, 0.5000)

Properties
Uncorrected energy = -3.284 eV/atom

=====

(2)
## Na2ZnCl2F2 (GGA-PBE)

Data for a relaxed structure of Na2ZnCl2F2.

Unit cell a=3.6742 b=6.6101 c=6.3378 alpha=60.45 beta=73.15 gamma=73.86
Positions (direct):
F (0.8326, 0.2930, 0.0418)
F (0.1674, 0.7070, 0.9582)
Na (0.2133, 0.3212, 0.2522)
Na (0.7867, 0.6788, 0.7478)
Cl (0.4220, 0.8322, 0.3239)
Cl (0.5780, 0.1678, 0.6761)
Zn (0.0000, 0.0000, 0.0000)

Properties
Uncorrected energy = -3.660 eV/atom

=====

(3)
## Nb3Cl7F (GGA-PBE)

Data for a relaxed structure of Nb3Cl7F.

Unit cell a=6.7183 b=6.7184 c=7.6083 alpha=77.21 beta=63.80 gamma=60.00
Last column: magnetic moment on the atom in μB.
Positions (direct):
Cl (0.2983, 0.0877, 0.8205)  0.01
Cl (0.8569, 0.9165, 0.3696)  0.03
Cl (0.3520, 0.4215, 0.3694)  0.03
Cl (0.8570, 0.4215, 0.3694)  0.03
Cl (0.2987, 0.5827, 0.8198)  0.01
Cl (0.3300, 0.9199, 0.4201)  0.00
Cl (0.7935, 0.0877, 0.8205)  0.01
Nb (0.0372, 0.7235, 0.6139)  0.25
Nb (0.6254, 0.7235, 0.6139)  0.25
Nb (0.0371, 0.3119, 0.6139)  0.25
F (0.7881, 0.5861, 0.8377)  0.00

Properties
Uncorrected energy = -5.476 eV/atom

=====

> Look up the uncorrected energy of the second one.

-3.660 eV/atom

=====

> Look up the uncorrected energy of the third one.

-5.476 eV/atom

=====

> Among the records above, which one has the highest uncorrected energy?

NaZnCl2F

=====

> The lowest uncorrected energy belongs to which entry?

Nb3Cl7F